DFT (PBE) results for a relaxed structure of CeH6.

## Properties
- Crystal system: cubic
- Space-group type: Im-3m, No. 229

Cell lengths 3.7868, 3.7868, 3.7868 Å; angles 109.47, 109.47, 109.47 degrees
Element x y z (fractional)
Ce 0.0000 0.0000 0.0000
H 0.2500 0.5000 0.7500
H 0.2500 0.7500 0.5000
H 0.5000 0.2500 0.7500
H 0.5000 0.7500 0.2500
H 0.7500 0.2500 0.5000
H 0.7500 0.5000 0.2500



DFT (PBE) results for a relaxed structure of CeH.

## Properties
- Crystal system: orthorhombic
- Space-group type: Cmcm, No. 63

Cell lengths 5.7717, 5.7717, 3.2326 Å; angles 90.00, 90.00, 146.18 degrees
Element x y z (fractional)
Ce 0.1208 0.8792 0.7500
Ce 0.8792 0.1208 0.2500
H 0.3296 0.6704 0.7500
H 0.6704 0.3296 0.2500



Summary of E_tot in eV per atom
-3.647 -4.914
(order as listed above)